[1]
Crystalline SiSe2 at its relaxed geometry, computed with PBE-GGA.

abc: 7.457 7.457 7.457
angles: 27.24 27.24 27.24
Fractional positions:
Si 0.000 0.000 0.000
Se 0.267 0.267 0.267
Se 0.733 0.733 0.733

The formation energy from raw total energies is -0.328 eV per atom. The space group is R-3m (166).

---

[2]
Crystalline Si3Se5 at its relaxed geometry, computed with PBE-GGA.

abc: 3.199 3.199 17.003
angles: 90.00 90.00 90.00
Fractional positions:
Si 0.000 0.000 0.000
Si 0.500 0.500 0.367
Si 0.500 0.500 0.633
Se 0.000 0.000 0.293
Se 0.000 0.000 0.500
Se 0.000 0.000 0.707
Se 0.500 0.500 0.097
Se 0.500 0.500 0.903

For the energy relative to the lowest polymorph listed for this composition, the calculation gives 507 meV per atom. The formation energy from raw total energies is 0.374 eV per atom. The space group is P4/mmm (123).

---

[3]
Crystalline SiSe3 at its relaxed geometry, computed with PBE-GGA.

abc: 4.829 4.829 3.387
angles: 90.00 90.00 90.00
Fractional positions:
Si 0.000 0.000 0.000
Se 0.000 0.500 0.500
Se 0.500 0.000 0.500
Se 0.500 0.500 0.000

The formation energy from raw total energies is 0.533 eV per atom. The space group is P4/mmm (123).

---

[4]
Crystalline SiSe2 at its relaxed geometry, computed with PBE-GGA.

abc: 6.948 17.820 6.345
angles: 90.00 101.08 90.00
Fractional positions:
Si 0.109 0.065 0.113
Si 0.109 0.435 0.613
Si 0.323 0.196 0.331
Si 0.323 0.304 0.831
Si 0.677 0.696 0.169
Si 0.677 0.804 0.669
Si 0.891 0.565 0.387
Si 0.891 0.935 0.887
Se 0.009 0.042 0.751
Se 0.009 0.458 0.251
Se 0.009 0.678 0.286
Se 0.009 0.822 0.786
Se 0.441 0.083 0.232
Se 0.441 0.196 0.699
Se 0.441 0.304 0.199
Se 0.441 0.417 0.732
Se 0.559 0.583 0.268
Se 0.559 0.696 0.801
Se 0.559 0.804 0.301
Se 0.559 0.917 0.768
Se 0.991 0.178 0.214
Se 0.991 0.322 0.714
Se 0.991 0.542 0.749
Se 0.991 0.958 0.249

The formation energy from raw total energies is -0.453 eV per atom. The space group is P2_1/c (14).